{"formula": "CoBr3O", "functional": "PBE+U", "state": "relaxed", "lattice_angstrom": [[-3.392, 2.770, 2.282], [-0.130, -3.232, 3.731], [3.586, 2.503, 2.293]], "species": ["Co", "Br", "Br", "Br", "O"], "fractional_positions": [[0.000, 0.000, 0.000], [0.500, 0.000, 0.000], [0.000, 0.000, 0.500], [0.000, 0.500, 0.000], [0.500, 0.500, 0.500]], "space_group": "Pm-3m", "magmom_total_mub_per_atom": 0.708, "rho_kg_m3": 4339, "vol_a3_per_cell": 120, "de_polymorph_mev_per_atom": 179}